Below is FeSeCl2 after structural relaxation, with properties calculated at the PBE level.

a = 3.9549 Å, b = 3.9549 Å, c = 8.7764 Å
α = 90.00°, β = 90.00°, γ = 131.47°
Fractional positions:
Fe1 0.0000 0.0000 0.5135
Se1 0.5000 0.5000 0.7084
Cl1 0.0000 0.0000 0.9499
Cl2 0.5000 0.5000 0.3282

Values from the calculation:
Excess energy over the best structure of this formula in the dataset: 122.2 kJ/mol of formula units
Crystal system: orthorhombic
Density of states at the Fermi level: 3.64 states/eV/cell
Space group: Cmm2, No. 35
Formation energy (no corrections): -1.56 kcal/mol of atoms
Magnetization: 0.808 μB/atom



Below is Er2Tm2Al after structural relaxation, with properties calculated at the PBE level.

a = 4.1885 Å, b = 4.1885 Å, c = 9.0930 Å
α = 103.32°, β = 103.32°, γ = 90.00°
Fractional positions:
Er1 0.7500 0.2500 0.5000
Er2 0.2500 0.7500 0.5000
Tm1 0.4111 0.4111 0.8222
Tm2 0.5889 0.5889 0.1778
Al1 0.0000 0.0000 0.0000

Values from the calculation:
Excess energy over the best structure of this formula in the dataset: 269.5 kJ/mol of formula units
Crystal system: tetragonal
Density of states at the Fermi level: 5.27 states/eV/cell
Energy of formation: 0.420 eV/atom
Space group: I4/mmm, No. 139
Magnetization: 0.000 μB/atom



Below is MgH3Ir4 after structural relaxation, with properties calculated at the PBE level.

a = 5.6083 Å, b = 4.8055 Å, c = 4.8310 Å
α = 80.14°, β = 107.13°, γ = 54.06°
Fractional positions:
Mg1 0.1223 0.0369 0.4352
H1 0.5014 0.5444 0.9000
H2 0.2316 0.0620 0.8848
H3 0.7384 0.7286 0.2661
Ir1 0.6291 0.0389 0.4660
Ir2 0.8130 0.3574 0.7887
Ir3 0.3245 0.3493 0.8018
Ir4 0.9948 0.6814 0.1056

Values from the calculation:
Excess energy over the best structure of this formula in the dataset: 0.0 kJ/mol of formula units
Crystal system: triclinic
Density of states at the Fermi level: 3.42 states/eV/cell
Space group: P1, No. 1
Magnetization: 0.000 μB/atom



Below is LaCoBRu2 after structural relaxation, with properties calculated at the PBE level.

a = 4.2752 Å, b = 4.2752 Å, c = 4.0698 Å
α = 90.00°, β = 90.00°, γ = 90.00°
Fractional positions:
Ru1 0.0000 0.5000 0.0000
Ru2 0.5000 0.0000 0.0000
B1 0.0000 0.0000 0.0000
Co1 0.0000 0.0000 0.5000
La1 0.5000 0.5000 0.5000

Values from the calculation:
Crystal system: tetragonal
Density of states at the Fermi level: 4.22 states/eV/cell
Energy of formation: -0.169 eV/atom
Space group: P4/mmm, No. 123
Magnetization: 0.000 μB/atom



Below is AcPu2Si after structural relaxation, with properties calculated at the PBE level.

a = 4.8270 Å, b = 4.8270 Å, c = 6.5973 Å
α = 68.54°, β = 68.54°, γ = 60.00°
Fractional positions:
Ac1 0.5000 0.5000 0.5000
Si1 0.0000 0.0000 0.0000
Pu1 0.2920 0.2920 0.1241
Pu2 0.7080 0.7080 0.8759

Values from the calculation:
Excess energy over the best structure of this formula in the dataset: 77.8 kJ/mol of formula units
Crystal system: trigonal
Density of states at the Fermi level: 14.70 states/eV/cell
Space group: R-3m, No. 166
Formation energy (no corrections): 2.75 kcal/mol of atoms
Magnetization: 3.096 μB/atom



Below is Cs2PaTc3O12 after structural relaxation, with properties calculated at the PBE level.

a = 7.6536 Å, b = 7.6536 Å, c = 7.6536 Å
α = 57.34°, β = 57.34°, γ = 57.34°
Fractional positions:
Cs1 0.6187 0.6187 0.6187
Cs2 0.3813 0.3813 0.3813
Pa1 0.0000 0.0000 0.0000
Tc1 0.5000 0.0000 0.0000
Tc2 0.0000 0.5000 0.0000
Tc3 0.0000 0.0000 0.5000
O1 0.3012 0.3012 0.9315
O2 0.9271 0.9271 0.3442
O3 0.3442 0.9271 0.9271
O4 0.9315 0.3012 0.3012
O5 0.9271 0.3442 0.9271
O6 0.3012 0.9315 0.3012
O7 0.6988 0.6988 0.0685
O8 0.0729 0.0729 0.6558
O9 0.6558 0.0729 0.0729
O10 0.0685 0.6988 0.6988
O11 0.0729 0.6558 0.0729
O12 0.6988 0.0685 0.6988

Values from the calculation:
Crystal system: trigonal
Density of states at the Fermi level: 6.81 states/eV/cell
Space group: R-3m, No. 166
Formation energy (no corrections): -43.73 kcal/mol of atoms
Magnetization: 0.143 μB/atom



Below is TbPm6DyEr2 after structural relaxation, with properties calculated at the PBE level.

a = 9.6085 Å, b = 8.8990 Å, c = 8.8990 Å
α = 117.64°, β = 93.80°, γ = 93.80°
Fractional positions:
Tb1 0.2500 0.9719 0.0281
Tb2 0.7500 0.0281 0.9719
Pm1 0.0545 0.1165 0.7604
Pm2 0.4455 0.2396 0.8835
Pm3 0.9455 0.8835 0.2396
Pm4 0.5545 0.7604 0.1165
Pm5 0.3143 0.9881 0.4362
Pm6 0.1857 0.5638 0.0119
Pm7 0.6857 0.0119 0.5638
Pm8 0.8143 0.4362 0.9881
Pm9 0.1186 0.7075 0.4897
Pm10 0.3814 0.5103 0.2925
Pm11 0.8814 0.2925 0.5103
Pm12 0.6186 0.4897 0.7075
Dy1 0.2500 0.4101 0.5899
Dy2 0.7500 0.5899 0.4101
Er1 0.4537 0.7998 0.7011
Er2 0.0463 0.2989 0.2002
Er3 0.5463 0.2002 0.2989
Er4 0.9537 0.7011 0.7998

Values from the calculation:
Crystal system: monoclinic
Density of states at the Fermi level: 28.74 states/eV/cell
Energy of formation: 0.117 eV/atom
Space group: C2/c, No. 15
Magnetization: 0.000 μB/atom



Below is LiOs2Br after structural relaxation, with properties calculated at the PBE level.

a = 5.5876 Å, b = 3.5705 Å, c = 3.5740 Å
α = 89.53°, β = 90.00°, γ = 90.00°
Fractional positions:
Br1 0.5000 0.2500 0.2500
Li1 0.5000 0.7500 0.7500
Os1 0.0000 0.9814 0.9815
Os2 0.0000 0.5186 0.5185

Values from the calculation:
Excess energy over the best structure of this formula in the dataset: 123.5 kJ/mol of formula units
Crystal system: orthorhombic
Density of states at the Fermi level: 1.94 states/eV/cell
Space group: Cmmm, No. 65
Formation energy (no corrections): 14.95 kcal/mol of atoms
Magnetization: 0.000 μB/atom



magnetization of number 1 (FeSeCl2)? 0.808 μB/atom